First-principles (GGA-PBEsol) data for an optimized crystal structure of KCo2Au, as listed in Alexandria via LeMat-Bulk.

The structure in CIF format:
```
data_KCo2Au
_chemical_formula_sum 'K1 Co2 Au1'
_cell_length_a 2.901
_cell_length_b 2.901
_cell_length_c 8.077
_cell_angle_alpha 90.00
_cell_angle_beta 90.00
_cell_angle_gamma 90.00
_space_group_name_H-M_alt 'P 4 m m'
_space_group_IT_number 99
loop_
_space_group_symop_operation_xyz
'x,y,z'
'-y,x,z'
'-x,-y,z'
'y,-x,z'
'-x,y,z'
'y,x,z'
'x,-y,z'
'-y,-x,z'
loop_
_atom_site_label
_atom_site_fract_x
_atom_site_fract_y
_atom_site_fract_z
K1 0.000 0.000 0.000
Co1 0.000 0.000 0.547
Co2 0.500 0.500 0.678
Au1 0.500 0.500 0.327
```

Output
energy of formation = 0.44 eV per atom
calculated density = 8.64 Mg/m³
energy above the most stable polymorph in this dataset = 0.000 eV/atom